Material: ZrAlCuAg
Method: DFT, GGA-PBE
State: optimized geometry

Values from the calculation:
- total magnetization (μB/f.u.) = 0.0
- energy relative to the lowest polymorph listed for this composition (kJ/mol of atoms) = 12.6
- energy (eV per atom) = -4.80

Cell lengths 4.5842, 4.5842, 4.5842 Å; angles 60.00, 60.00, 60.00 degrees
With the nearest neighbours (Å) after each atom.
Element x y z (fractional)
Zr: 0.0000 0.0000 0.0000  4 Ag 2.81, 4 Al 2.81
Al: 0.2500 0.2500 0.2500  4 Zr 2.81, 4 Cu 2.81
Cu: 0.5000 0.5000 0.5000  4 Ag 2.81, 4 Al 2.81
Ag: 0.7500 0.7500 0.7500  4 Zr 2.81, 4 Cu 2.81

Material: DyAl4Ag8
Method: DFT, GGA-PBE
State: optimized geometry

Values from the calculation:
- total magnetization (μB/f.u.) = 0.0
- energy (eV per atom) = -3.45

Cell lengths 7.0940, 7.0940, 7.0940 Å; angles 98.23, 98.23, 135.54 degrees
With the nearest neighbours (Å) after each atom.
Element x y z (fractional)
Dy: 0.0000 0.0000 0.0000  12 Ag 3.18-3.35, 8 Al 3.55
Al: 0.0000 0.0000 0.5000  2 Al 2.68, 8 Ag 2.70-2.81
Al: 0.0000 0.5000 0.0000  2 Al 2.68, 8 Ag 2.70-2.81
Al: 0.5000 0.0000 0.0000  2 Al 2.68, 8 Ag 2.70-2.81
Al: 0.5000 0.5000 0.5000  2 Al 2.68, 8 Ag 2.70-2.81
Ag: 0.0000 0.3420 0.3420  4 Al 2.81, 5 Ag 2.93-3.02
Ag: 0.0000 0.6580 0.6580  4 Al 2.81, 5 Ag 2.93-3.02
Ag: 0.2837 0.5000 0.7837  4 Al 2.70, 6 Ag 2.84-3.02
Ag: 0.3420 0.0000 0.3420  4 Al 2.81, 5 Ag 2.93-3.02
Ag: 0.5000 0.2837 0.7837  4 Al 2.70, 6 Ag 2.84-3.02
Ag: 0.5000 0.7163 0.2163  4 Al 2.70, 6 Ag 2.84-3.02
Ag: 0.6580 0.0000 0.6580  4 Al 2.81, 5 Ag 2.93-3.02
Ag: 0.7163 0.5000 0.2163  4 Al 2.70, 6 Ag 2.84-3.02

Material: DyAl5Ag7
Method: DFT, GGA-PBE
State: optimized geometry

Values from the calculation:
- total magnetization (μB/f.u.) = 0.0
- energy (eV per atom) = -3.52

Cell lengths 7.0613, 7.0613, 7.0613 Å; angles 135.10, 97.72, 99.05 degrees
With the nearest neighbours (Å) after each atom.
Element x y z (fractional)
Dy: 0.0000 0.0000 0.0000  10 Ag 3.06-3.37, 2 Al 3.39
Al: 0.0014 0.4985 0.0056  7 Ag 2.66-2.84, 3 Al 2.68-2.74
Al: 0.0014 0.9958 0.5029  7 Ag 2.66-2.84, 3 Al 2.68-2.74
Al: 0.4929 0.4985 0.4971  7 Ag 2.66-2.84, 3 Al 2.68-2.74
Al: 0.4929 0.9958 0.9944  7 Ag 2.66-2.84, 3 Al 2.68-2.74
Al: 0.7763 0.2763 0.5000  4 Al 2.74, 6 Ag 2.75-2.89
Ag: 0.1978 0.4928 0.7050  5 Al 2.67-2.75, 1 Ag 2.83
Ag: 0.2211 0.7211 0.5000  4 Al 2.66, 6 Ag 2.83-2.98
Ag: 0.3455 0.3455 0.0000  4 Al 2.80, 5 Ag 2.93-3.06
Ag: 0.3477 0.0044 0.3432  5 Al 2.76-2.89, 4 Ag 2.91-2.99
Ag: 0.6612 0.0044 0.6568  5 Al 2.76-2.89, 4 Ag 2.91-2.99
Ag: 0.6661 0.6661 0.0000  6 Al 2.82-2.88, 1 Ag 2.94, 1 Dy 3.06
Ag: 0.7878 0.4928 0.2950  5 Al 2.67-2.75, 1 Ag 2.83

Question: What is the energy in the first record?
Answer: -4.80 eV per atom

Question: Which formula does entry 2 have?
Answer: DyAl4Ag8